Here is crystalline Li3V4O11F at its relaxed geometry from the Alexandria database. Energies are from PBE+U.

```
Li3V4O11F
1.0
5.119 0.000 0.000
-1.077 5.016 0.000
-0.198 -1.071 8.326
Li V O F
3 4 11 1
direct
0.000 0.000 0.000
0.206 0.976 0.422
0.691 0.479 0.940
0.178 0.388 0.754
0.481 0.954 0.806
0.610 0.788 0.242
0.907 0.353 0.340
0.037 0.108 0.235
0.054 0.359 0.546
0.071 0.650 0.858
0.310 0.635 0.298
0.317 0.216 0.919
0.338 0.020 0.638
0.506 0.594 0.739
0.574 0.852 0.045
0.598 0.131 0.361
0.787 0.508 0.173
0.809 0.135 0.814
0.840 0.737 0.438
```

Properties
Total energy in eV/atom: -6.78
Space-group type: P1 (1)
Mass density in g/cm³: 3.26
Total magnetic moment in μB per atom: 0.000